DFT (PBE) results for a relaxed structure of PuSi2Tc2C.

ΔE_f (raw) in eV/atom: -0.4216
Magnetization in Bohr magnetons per cell: 5.259

Lattice parameters (Å, degrees): 4.1346 4.1346 5.2561 90.00 90.00 90.00
Fractional positions:
Si: 0.5000 0.5000 0.7214
Tc: 0.0000 0.5000 0.0000
Pu: 0.0000 0.0000 0.5000
Tc: 0.5000 0.0000 0.0000
Si: 0.5000 0.5000 0.2786
C: 0.0000 0.0000 0.0000